(1)
Bi3AuSe | PBE-GGA | relaxed

Structure (POSCAR):
```
Bi3AuSe
1.0
-4.1842 2.1399 2.9474
0.3060 -4.2666 3.5321
3.6294 2.8267 3.1001
Au Bi Se
1 3 1
Direct
0.5000 0.5000 0.5000
0.0000 0.5000 0.0000
0.0000 0.0000 0.5000
0.5000 0.0000 0.0000
0.0000 0.0000 0.0000
```

Space-group type: Pm-3m, No. 221
Formation energy without anion corrections in eV/atom: 0.701



(2)
YAs4Br | PBE-GGA | relaxed

Structure (POSCAR):
```
YAs4Br
1.0
0.0000 4.0274 4.0274
4.0274 0.0000 4.0274
4.0274 4.0274 0.0000
Y As Br
1 4 1
Direct
0.0000 0.0000 0.0000
0.8647 0.3784 0.3784
0.3784 0.3784 0.8647
0.3784 0.8647 0.3784
0.3784 0.3784 0.3784
0.7500 0.7500 0.7500
```

Space-group type: F-43m, No. 216
Formation energy without anion corrections in eV/atom: -0.246



(3)
La3Ta | PBE-GGA | relaxed

Structure (POSCAR):
```
La3Ta
1.0
3.4414 0.0000 0.0000
-1.7207 11.6109 0.0003
1.7207 -0.2551 2.9694
La Ta
3 1
Direct
0.0095 0.0285 0.0095
0.2500 0.7500 0.2500
0.4905 0.4715 0.4905
0.7500 0.2500 0.7500
```

Calculated formation energy in eV per atom: 0.43
Space-group type: R-3m, No. 166



(4)
Fe2OsAu | PBE-GGA | relaxed

Structure (POSCAR):
```
Fe2OsAu
1.0
-0.1367 -4.6375 0.5024
2.0021 -4.0716 -1.0917
2.8768 -0.6308 3.6358
Au Fe Os
1 2 1
Direct
0.7471 0.7471 0.7677
0.9899 0.9899 0.0070
0.2535 0.2535 0.2646
0.5096 0.5096 0.4607
```

Calculated formation energy in eV per atom: 0.31
Space-group type: Cm, No. 8



no.,ρ (Mg/m³)
1,8.78
2,5.95
3,8.36
4,14.88